*one*
Cd2Hg2Pb: optimized geometry, PBE.

abc: 4.320 4.320 14.171
angles: 90.00 90.00 90.00
Space group I4/mmm (No. 139)
Symmetry-distinct sites (fractional):
Cd1 0.000 0.500 0.250 x4
Hg1 0.000 0.000 0.103 x4
Pb1 0.000 0.000 0.500 x2

Properties
Magnetization: 0.00 μB/f.u.
Crystal system: tetragonal

***

*two*
Cd2Hg2Pb: optimized geometry, PBE.

abc: 8.878 8.878 3.259
angles: 90.00 90.00 90.00
Space group P4/mbm (No. 127)
Symmetry-distinct sites (fractional):
Cd1 0.143 0.357 0.000 x4
Hg1 0.154 0.654 0.500 x4
Pb1 0.000 0.000 0.500 x2

Properties
Magnetization: 0.00 μB/f.u.
Crystal system: tetragonal

***

*two* is favored, and the nearest alternative lies 25 meV/atom above it.

***

*one*
Cd2Hg2Pb: optimized geometry, PBE.

abc: 8.448 8.448 3.630
angles: 90.00 90.00 90.00
Space group P4/mbm (No. 127)
Symmetry-distinct sites (fractional):
Cd1 0.127 0.373 0.000 x4
Hg1 0.172 0.672 0.500 x4
Pb1 0.000 0.000 0.000 x2

Properties
Magnetization: 0.00 μB/f.u.
Crystal system: tetragonal

***

*two*
Cd2Hg2Pb: optimized geometry, PBE.

abc: 4.363 4.363 14.041
angles: 90.00 90.00 90.00
Space group I4/mmm (No. 139)
Symmetry-distinct sites (fractional):
Cd1 0.000 0.000 0.100 x4
Hg1 0.000 0.500 0.250 x4
Pb1 0.000 0.000 0.500 x2

Properties
Magnetization: 0.00 μB/f.u.
Crystal system: tetragonal

***

*one* is favored, and the nearest alternative lies 39 meV/atom above it.

***

*one*
Cd2Hg9Pb: optimized geometry, PBE.

abc: 4.508 4.508 15.312
angles: 90.00 90.00 90.00
Space group P4/mmm (No. 123)
Symmetry-distinct sites (fractional):
Cd1 0.000 0.000 0.165 x2
Hg1 0.000 0.500 0.000 x2
Hg2 0.000 0.500 0.327 x4
Hg3 0.500 0.500 0.164 x2
Hg4 0.500 0.500 0.500 x1
Pb1 0.000 0.000 0.500 x1

Properties
Magnetization: 0.00 μB/f.u.
Crystal system: tetragonal

***

*two*
Cd2Hg9Pb: optimized geometry, PBE.

abc: 10.4594 10.4594 3.3360
angles: 90.00 90.00 120.00
Space group P6/mmm (No. 191)
Symmetry-distinct sites (fractional):
Cd1 0.3333 0.6667 0.0000 x2
Hg1 0.0000 0.5000 0.0000 x3
Hg2 0.1746 0.3491 0.5000 x6
Pb1 0.0000 0.0000 0.0000 x1

Properties
Magnetization: 0.00 μB/f.u.
Crystal system: hexagonal

***

*one* is favored, and the nearest alternative lies 16 meV/atom above it.

***

*one*
CdHg6Pb2: optimized geometry, PBE.

abc: 3.3809 3.3809 25.0247
angles: 90.00 90.00 120.00
Space group P-6m2 (No. 187)
Symmetry-distinct sites (fractional):
Cd1 0.0000 0.0000 0.0000 x1
Hg1 0.0000 0.0000 0.2098 x2
Hg2 0.0000 0.0000 0.4404 x2
Hg3 0.3333 0.6667 0.1032 x2
Pb1 0.3333 0.6667 0.3260 x2

Properties
Magnetization: 0.00 μB/f.u.
Crystal system: hexagonal

***

*two*
CdHg6Pb2: optimized geometry, PBE.

abc: 16.561 8.981 3.323
angles: 90.00 94.87 90.00
Space group C2/m (No. 12)
Symmetry-distinct sites (fractional):
Cd1 0.000 0.000 0.000 x2
Hg1 0.000 0.307 0.500 x4
Hg2 0.166 0.171 0.085 x8
Pb1 0.165 0.500 0.532 x4

Properties
Magnetization: 0.00 μB/f.u.
Crystal system: monoclinic

***

*two* is favored, and the nearest alternative lies 13 meV/atom above it.

***

*one*
CdHgPb4: optimized geometry, PBE.

abc: 9.201 9.201 9.201
angles: 90.00 90.00 90.00
Space group F-43m (No. 216)
Symmetry-distinct sites (fractional):
Cd1 0.000 0.000 0.000 x4
Hg1 0.250 0.250 0.750 x4
Pb1 0.125 0.125 0.375 x16

Properties
Magnetization: 0.00 μB/f.u.
Crystal system: cubic

***

*two*
CdHgPb4: optimized geometry, PBE.

abc: 4.512 22.187 7.618
angles: 90.00 90.00 90.00
Space group Cmc2_1 (No. 36)
Symmetry-distinct sites (fractional):
Cd1 0.000 0.175 0.000 x4
Hg1 0.000 0.429 0.949 x4
Pb1 0.000 0.027 0.737 x4
Pb2 0.000 0.295 0.770 x4
Pb3 0.000 0.319 0.204 x4
Pb4 0.000 0.428 0.543 x4

Properties
Magnetization: 0.00 μB/f.u.
Crystal system: orthorhombic

***

*three*
CdHgPb4: optimized geometry, PBE.

abc: 9.137 14.351 5.827
angles: 90.00 109.89 90.00
Space group C2/c (No. 15)
Symmetry-distinct sites (fractional):
Cd1 0.000 0.007 0.250 x4
Hg1 0.000 0.392 0.250 x4
Pb1 0.115 0.192 0.574 x8
Pb2 0.202 0.409 0.857 x8

Properties
Magnetization: 0.00 μB/f.u.
Crystal system: monoclinic

***

*three* is favored, and the nearest alternative lies 36 meV/atom above it.

***

*one*
CdHg3Pb6: optimized geometry, PBE.

abc: 11.715 3.389 15.773
angles: 90.00 110.30 90.00
Space group P2_1/m (No. 11)
Symmetry-distinct sites (fractional):
Cd1 0.129 0.250 0.182 x2
Hg1 0.121 0.250 0.574 x2
Hg2 0.367 0.250 0.330 x2
Hg3 0.385 0.750 0.936 x2
Pb1 0.109 0.250 0.964 x2
Pb2 0.118 0.750 0.769 x2
Pb3 0.132 0.750 0.384 x2
Pb4 0.352 0.750 0.130 x2
Pb5 0.384 0.250 0.537 x2
Pb6 0.385 0.750 0.731 x2

Properties
Magnetization: 0.00 μB/f.u.
Crystal system: monoclinic

***

*two*
CdHg3Pb6: optimized geometry, PBE.

abc: 9.982 5.416 11.522
angles: 90.00 105.98 90.00
Space group P2_1/m (No. 11)
Symmetry-distinct sites (fractional):
Cd1 0.170 0.250 0.150 x2
Hg1 0.013 0.750 0.688 x2
Hg2 0.316 0.750 0.602 x2
Hg3 0.358 0.250 0.824 x2
Pb1 0.015 0.250 0.863 x2
Pb2 0.109 0.250 0.591 x2
Pb3 0.234 0.750 0.969 x2
Pb4 0.353 0.750 0.271 x2
Pb5 0.373 0.250 0.453 x2
Pb6 0.463 0.250 0.113 x2

Properties
Magnetization: 0.00 μB/f.u.
Crystal system: monoclinic

***

*one* is favored, and the nearest alternative lies 19 meV/atom above it.

***

*one*
Cd4Hg2Pb3: optimized geometry, PBE.

abc: 10.513 4.928 9.480
angles: 90.00 96.53 90.00
Space group C2/m (No. 12)
Symmetry-distinct sites (fractional):
Cd1 0.042 0.000 0.165 x4
Cd2 0.181 0.500 0.587 x4
Hg1 0.192 0.500 0.271 x4
Pb1 0.000 0.000 0.500 x2
Pb2 0.148 0.500 0.922 x4

Properties
Magnetization: 0.00 μB/f.u.
Crystal system: monoclinic

***

*two*
Cd4Hg2Pb3: optimized geometry, PBE.

abc: 11.021 4.999 8.859
angles: 90.00 90.23 90.00
Space group C2/m (No. 12)
Symmetry-distinct sites (fractional):
Cd1 0.076 0.000 0.355 x4
Cd2 0.196 0.500 0.070 x4
Hg1 0.231 0.500 0.393 x4
Pb1 0.000 0.000 0.000 x2
Pb2 0.094 0.500 0.733 x4

Properties
Magnetization: 0.00 μB/f.u.
Crystal system: monoclinic

***

*two* is favored, and the nearest alternative lies 14 meV/atom above it.

***

*one*
CdHg3Pb5: optimized geometry, PBE.

abc: 7.737 7.737 18.087
angles: 90.00 90.00 90.00
Space group I4/mcm (No. 140)
Symmetry-distinct sites (fractional):
Cd1 0.000 0.500 0.250 x4
Hg1 0.000 0.000 0.250 x4
Hg2 0.128 0.372 0.000 x8
Pb1 0.000 0.000 0.000 x4
Pb2 0.232 0.268 0.351 x16

Properties
Magnetization: 0.00 μB/f.u.
Crystal system: tetragonal

***

*two*
CdHg3Pb5: optimized geometry, PBE.

abc: 9.5871 9.5871 6.5177
angles: 90.00 90.00 120.00
Space group P6_3/mcm (No. 193)
Symmetry-distinct sites (fractional):
Cd1 0.0000 0.0000 0.0000 x2
Hg1 0.0000 0.3688 0.2500 x6
Pb1 0.0000 0.2934 0.7500 x6
Pb2 0.3333 0.6667 0.0000 x4

Properties
Magnetization: 0.00 μB/f.u.
Crystal system: hexagonal

***

*two* is favored, and the nearest alternative lies 50 meV/atom above it.